# TaSeNO2

TaSeNO2 after structural relaxation (GGA-PBEsol, Alexandria via LeMat-Bulk).

The calculated volume comes out at 64.3 Å³ per cell. The value obtained for the theoretical density is 7.9 g/cm³. For the uncorrected energy, the calculation gives -7.9130 eV per atom.

Unit cell a=3.8683 b=3.8683 c=4.2962 alpha=90.00 beta=90.00 gamma=90.00
Site moments in Bohr magnetons follow the coordinates.
Element x y z (fractional)
Ta: 0.0000 0.0000 0.0000  0.01
O: 0.0000 0.5000 0.0000  0.05
O: 0.5000 0.0000 0.0000  0.05
N: 0.0000 0.0000 0.5000  -0.02
Se: 0.5000 0.5000 0.5000  0.28

---

# Sr4Ca4TiMn7O24

Sr4Ca4TiMn7O24 after structural relaxation (GGA-PBEsol, Alexandria via LeMat-Bulk).

The calculated volume comes out at 430.0 Å³ per cell. The value obtained for the theoretical density is 5.1 g/cm³. For the uncorrected energy, the calculation gives -7.8536 eV per atom.

Unit cell a=7.5328 b=7.5329 c=7.5774 alpha=90.05 beta=90.05 gamma=90.00
Site moments in Bohr magnetons follow the coordinates.
Element x y z (fractional)
O: 0.5049 0.7519 0.0192  0.07
O: 0.5021 0.2452 0.5208  0.04
O: 0.9908 0.2506 0.9579  0.04
O: 0.9664 0.9663 0.7444  0.07
O: 0.9999 0.7518 0.0209  0.08
O: 0.0044 0.7509 0.4646  0.05
O: 0.5101 0.2501 0.9634  0.04
O: 0.4738 0.4738 0.2422  0.07
O: 0.9762 0.5390 0.7462  0.06
O: 0.9965 0.2502 0.5292  0.07
O: 0.7519 0.5049 0.0192  0.07
O: 0.5390 0.9762 0.7462  0.06
O: 0.2502 0.9965 0.5292  0.07
O: 0.7547 0.4997 0.4775  0.05
O: 0.7509 0.0044 0.4646  0.05
O: 0.4997 0.7547 0.4776  0.05
O: 0.0301 0.4665 0.2436  0.07
O: 0.2501 0.5101 0.9634  0.04
O: 0.7518 0.9999 0.0209  0.08
O: 0.4665 0.0301 0.2437  0.07
O: 0.0338 0.0338 0.2439  0.07
O: 0.2506 0.9909 0.9579  0.04
O: 0.2452 0.5021 0.5208  0.04
O: 0.5234 0.5234 0.7540  0.03
Ti: 0.5039 0.5039 0.5102  0.03
Mn: 0.9943 0.9943 0.5068  2.63
Mn: 0.4958 0.4958 0.0026  2.63
Mn: 0.0021 0.4945 0.0035  2.65
Mn: 0.0026 0.0026 0.0059  2.66
Mn: 0.5026 0.9968 0.5077  2.62
Mn: 0.9968 0.5026 0.5077  2.62
Mn: 0.4945 0.0021 0.0036  2.65
Sr: 0.7506 0.2512 0.2467  0.01
Sr: 0.2498 0.2499 0.7515  0.01
Sr: 0.7501 0.7500 0.2493  0.01
Sr: 0.2512 0.7506 0.2467  0.01
Ca: 0.7500 0.2352 0.7516  0.01
Ca: 0.2352 0.7500 0.7516  0.01
Ca: 0.2506 0.2506 0.2923  0.01
Ca: 0.7469 0.7469 0.7911  0.01

---

# Zn2TeBr

Zn2TeBr after structural relaxation (GGA-PBEsol, Alexandria via LeMat-Bulk).

The calculated volume comes out at 106.7 Å³ per cell. The value obtained for the theoretical density is 5.3 g/cm³. Its distance to the lowest polymorph of the same formula is 0 meV/atom.

Unit cell a=4.2447 b=5.3502 c=5.3502 alpha=89.14 beta=70.05 gamma=70.05
Element x y z (fractional)
Zn: 0.0000 0.5000 0.0000
Zn: 0.0000 0.0000 0.5000
Te: 0.0000 0.0000 0.0000
Br: 0.0000 0.5000 0.5000

---

# GaHgS2

GaHgS2 after structural relaxation (GGA-PBEsol, Alexandria via LeMat-Bulk).

The calculated volume comes out at 84.1 Å³ per cell. The value obtained for the theoretical density is 6.6 g/cm³. For the uncorrected energy, the calculation gives -3.4303 eV per atom.

Unit cell a=3.5233 b=3.5233 c=8.0827 alpha=77.41 beta=77.41 gamma=60.00
Element x y z (fractional)
Hg: 0.0000 0.0000 0.0000
S: 0.1101 0.1101 0.6698
S: 0.8899 0.8899 0.3302
Ga: 0.5000 0.5000 0.5000

---

# Ta2OsRu

Ta2OsRu after structural relaxation (GGA-PBEsol, Alexandria via LeMat-Bulk).

The calculated volume comes out at 62.5 Å³ per cell. As for the calculated formation energy: -0.2720 eV/atom. The value obtained for the theoretical density is 17.4 g/cm³. Its distance to the lowest polymorph of the same formula is 0 meV/atom.

Unit cell a=3.0276 b=4.5581 c=4.5581 alpha=96.75 beta=90.00 gamma=90.00
Element x y z (fractional)
Ta: 0.0000 0.5000 0.0000
Ta: 0.0000 0.0000 0.5000
Ru: 0.5000 0.5000 0.5000
Os: 0.5000 0.0000 0.0000

---

# Cs4Sn2Te7

Cs4Sn2Te7 after structural relaxation (GGA-PBEsol, Alexandria via LeMat-Bulk).

The calculated volume comes out at 1152.4 Å³ per cell. The value obtained for the theoretical density is 4.8 g/cm³. For the uncorrected energy, the calculation gives -3.4873 eV per atom.

Unit cell a=7.7315 b=9.0320 c=18.7594 alpha=79.68 beta=78.11 gamma=64.66
Element x y z (fractional)
Te: 0.3316 0.4218 0.7491
Te: 0.6204 0.2130 0.9610
Te: 0.9663 0.2500 0.7500
Te: 0.4975 0.9218 0.2491
Te: 0.3796 0.7870 0.0390
Te: 0.7943 0.2870 0.5390
Te: 0.3895 0.2336 0.3495
Te: 0.5025 0.0782 0.7509
Te: 0.2057 0.7130 0.4610
Te: 0.6684 0.5782 0.2509
Te: 0.9726 0.2664 0.1505
Te: 0.0337 0.7500 0.2500
Te: 0.0274 0.7336 0.8495
Te: 0.6105 0.7664 0.6505
Cs: 0.7039 0.7182 0.4415
Cs: 0.1365 0.2182 0.9415
Cs: 0.9464 0.1327 0.3566
Cs: 0.5643 0.6327 0.8566
Cs: 0.4357 0.3673 0.1434
Cs: 0.8635 0.7818 0.0585
Cs: 0.0536 0.8673 0.6434
Cs: 0.2961 0.2818 0.5585
Sn: 0.6719 0.4419 0.6624
Sn: 0.7762 0.0581 0.8376
Sn: 0.2238 0.9419 0.1624
Sn: 0.3281 0.5581 0.3376

---

# Ca2NiIr

Ca2NiIr after structural relaxation (GGA-PBEsol, Alexandria via LeMat-Bulk).

The calculated volume comes out at 88.8 Å³ per cell. As for the calculated formation energy: -0.1763 eV/atom. The value obtained for the theoretical density is 6.2 g/cm³.

Unit cell a=4.2046 b=4.3030 c=5.3603 alpha=113.66 beta=90.00 gamma=90.00
Element x y z (fractional)
Ir: 0.0000 0.6724 0.3448
Ca: 0.0000 0.9795 0.9590
Ca: 0.5000 0.2683 0.5365
Ni: 0.5000 0.5772 0.1544

---

# Al2RhC

Al2RhC after structural relaxation (GGA-PBEsol, Alexandria via LeMat-Bulk).

The calculated volume comes out at 99.0 Å³ per cell. As for the calculated formation energy: 0.1132 eV/atom. The value obtained for the theoretical density is 5.7 g/cm³.

Unit cell a=5.1060 b=5.1060 c=5.1060 alpha=103.79 beta=103.79 gamma=121.54
Element x y z (fractional)
Al: 0.1250 0.5398 0.9148
Al: 0.6250 0.2102 0.0852
Al: 0.4602 0.3750 0.5852
Al: 0.7898 0.8750 0.4148
Rh: 0.0000 0.0000 0.0000
Rh: 0.2500 0.7500 0.5000
C: 0.5000 0.5000 0.0000
C: 0.7500 0.2500 0.5000

---

# Mn2ZnSe

Mn2ZnSe after structural relaxation (GGA-PBEsol, Alexandria via LeMat-Bulk).

The calculated volume comes out at 57.0 Å³ per cell. The value obtained for the theoretical density is 7.4 g/cm³. Its distance to the lowest polymorph of the same formula is 172 meV/atom.

Unit cell a=4.3187 b=4.3187 c=4.3187 alpha=60.00 beta=60.00 gamma=60.00
Site moments in Bohr magnetons follow the coordinates.
Element x y z (fractional)
Zn: 0.5000 0.5000 0.5000  -0.04
Mn: 0.7500 0.7500 0.7500  3.22
Mn: 0.2500 0.2500 0.2500  3.22
Se: 0.0000 0.0000 0.0000  0.01

---

# CsLiHf2

CsLiHf2 after structural relaxation (GGA-PBEsol, Alexandria via LeMat-Bulk).

The calculated volume comes out at 89.7 Å³ per cell. As for the calculated formation energy: 1.3081 eV/atom. The value obtained for the theoretical density is 9.2 g/cm³.

Unit cell a=5.0248 b=5.0248 c=5.0248 alpha=60.00 beta=60.00 gamma=60.00
Element x y z (fractional)
Hf: 0.7500 0.7500 0.7500
Hf: 0.2500 0.2500 0.2500
Cs: 0.5000 0.5000 0.5000
Li: 0.0000 0.0000 0.0000

---

# Cu3P8Se6Br3

Cu3P8Se6Br3 after structural relaxation (GGA-PBEsol, Alexandria via LeMat-Bulk).

The calculated volume comes out at 1967.7 Å³ per cell. The value obtained for the theoretical density is 3.9 g/cm³. For the uncorrected energy, the calculation gives -4.5544 eV per atom.

Unit cell a=6.3882 b=11.3910 c=27.0408 alpha=90.00 beta=90.00 gamma=90.00
Element x y z (fractional)
P: 0.1338 0.9533 0.9309
P: 0.8640 0.0761 0.9323
P: 0.1691 0.1364 0.8984
P: 0.4027 0.5474 0.6816
P: 0.9027 0.9526 0.6816
P: 0.8662 0.0467 0.4309
P: 0.3662 0.4533 0.4309
P: 0.1360 0.9239 0.0677
P: 0.0973 0.0474 0.1816
P: 0.3309 0.6364 0.1016
P: 0.1360 0.9239 0.4323
P: 0.8662 0.0467 0.0691
P: 0.8309 0.8636 0.1016
P: 0.3662 0.4533 0.0691
P: 0.6338 0.5467 0.5691
P: 0.6360 0.5761 0.0677
P: 0.0973 0.0474 0.3184
P: 0.3309 0.6364 0.3984
P: 0.8640 0.0761 0.5677
P: 0.4027 0.5474 0.8184
P: 0.1691 0.1364 0.6016
P: 0.9027 0.9526 0.8184
P: 0.3640 0.4239 0.5677
P: 0.8309 0.8636 0.3984
P: 0.5973 0.4526 0.1816
P: 0.6338 0.5467 0.9309
P: 0.6360 0.5761 0.4323
P: 0.1338 0.9533 0.5691
P: 0.3640 0.4239 0.9323
P: 0.6691 0.3636 0.8984
P: 0.6691 0.3636 0.6016
P: 0.5973 0.4526 0.3184
Br: 0.8648 0.3418 0.0115
Br: 0.1352 0.6582 0.9885
Br: 0.3648 0.1582 0.4885
Br: 0.0735 0.3377 0.2500
Br: 0.1352 0.6582 0.5115
Br: 0.4265 0.8377 0.7500
Br: 0.5735 0.1623 0.2500
Br: 0.8648 0.3418 0.4885
Br: 0.9265 0.6623 0.7500
Br: 0.3648 0.1582 0.0115
Br: 0.6352 0.8418 0.9885
Br: 0.6352 0.8418 0.5115
Se: 0.8778 0.8910 0.1833
Se: 0.0767 0.8286 0.8686
Se: 0.4233 0.3286 0.1314
Se: 0.9233 0.1714 0.3686
Se: 0.3478 0.9763 0.3698
Se: 0.6522 0.0237 0.8698
Se: 0.9233 0.1714 0.1314
Se: 0.8778 0.8910 0.3167
Se: 0.6222 0.3910 0.6833
Se: 0.1522 0.4763 0.6302
Se: 0.5767 0.6714 0.6314
Se: 0.0767 0.8286 0.6314
Se: 0.1222 0.1090 0.6833
Se: 0.3778 0.6090 0.3167
Se: 0.4233 0.3286 0.3686
Se: 0.1522 0.4763 0.8698
Se: 0.3478 0.9763 0.1302
Se: 0.1222 0.1090 0.8167
Se: 0.8478 0.5237 0.3698
Se: 0.6522 0.0237 0.6302
Se: 0.8478 0.5237 0.1302
Se: 0.3778 0.6090 0.1833
Se: 0.6222 0.3910 0.8167
Se: 0.5767 0.6714 0.8686
Cu: 0.7379 0.1417 0.4966
Cu: 0.8006 0.8637 0.7500
Cu: 0.7621 0.6417 0.9966
Cu: 0.1994 0.1363 0.2500
Cu: 0.2379 0.3583 0.4966
Cu: 0.7621 0.6417 0.5034
Cu: 0.7379 0.1417 0.0034
Cu: 0.3006 0.6363 0.7500
Cu: 0.2379 0.3583 0.0034
Cu: 0.2621 0.8583 0.9966
Cu: 0.2621 0.8583 0.5034
Cu: 0.6994 0.3637 0.2500

---

# ReCl3

ReCl3 after structural relaxation (GGA-PBEsol, Alexandria via LeMat-Bulk).

The calculated volume comes out at 644.2 Å³ per cell. The value obtained for the theoretical density is 4.5 g/cm³. For the uncorrected energy, the calculation gives -5.5153 eV per atom.

Unit cell a=9.3258 b=9.3258 c=9.3258 alpha=65.68 beta=65.68 gamma=65.68
Element x y z (fractional)
Cl: 0.4057 0.8792 0.8792
Cl: 0.1734 0.4895 0.4895
Cl: 0.0334 0.7188 0.7188
Cl: 0.4895 0.1734 0.4895
Cl: 0.2812 0.9666 0.2812
Cl: 0.5105 0.5105 0.8266
Cl: 0.1208 0.5943 0.1208
Cl: 0.5105 0.8266 0.5105
Cl: 0.5943 0.1208 0.1208
Cl: 0.9666 0.2812 0.2812
Cl: 0.8792 0.4057 0.8792
Cl: 0.8266 0.5105 0.5105
Cl: 0.7188 0.0334 0.7188
Cl: 0.2812 0.2812 0.9666
Cl: 0.1208 0.1208 0.5943
Cl: 0.4895 0.4895 0.1734
Cl: 0.8792 0.8792 0.4057
Cl: 0.7188 0.7188 0.0334
Re: 0.8831 0.6426 0.6426
Re: 0.1169 0.3574 0.3574
Re: 0.6426 0.6426 0.8831
Re: 0.3574 0.3574 0.1169
Re: 0.3574 0.1169 0.3574
Re: 0.6426 0.8831 0.6426